(1)
A plane-wave DFT calculation with PBE-GGA was carried out for crystalline RbTi2I at its relaxed geometry.

extended XYZ file:
```
8
Lattice="4.907 0.000 0.000 0.000 4.907 0.000 2.453 2.453 10.712" Properties=species:S:1:pos:R:3 pbc="T T T"
I 0.000 0.000 0.000
I 4.907 2.453 5.356
Rb 2.453 2.453 0.000
Rb 2.453 4.907 5.356
Ti 4.906 1.227 2.678
Ti 4.907 3.680 2.678
Ti 3.680 2.454 8.034
Ti 6.133 2.453 8.034
```

Summary:
Formation energy without anion corrections (eV/f.u.): 2.76
Offset from the most stable computed form (meV/atom): 0
DOS(E_F) (states/eV/f.u.): 4.51
SG: I4_1/amd



(2)
A plane-wave DFT calculation with PBE-GGA was carried out for crystalline KTa2Te at its relaxed geometry.

extended XYZ file:
```
4
Lattice="3.661 0.000 0.000 0.000 3.655 0.000 0.000 0.000 8.206" Properties=species:S:1:pos:R:3 pbc="T T T"
K 1.830 1.828 6.154
Ta 0.000 0.000 0.791
Ta 0.000 0.000 3.312
Te 1.830 1.828 2.051
```

Summary:
Formation energy without anion corrections (eV/f.u.): 3.57
DOS(E_F) (states/eV/f.u.): 2.93
SG: P4/mmm



(3)
A plane-wave DFT calculation with PBE-GGA was carried out for crystalline MoPb2N at its relaxed geometry.

extended XYZ file:
```
8
Lattice="-5.323 -4.062 1.271 4.032 -4.160 3.590 -1.369 -2.223 5.430" Properties=species:S:1:pos:R:3 pbc="T T T"
Pb -2.833 -3.361 2.522
Pb 1.180 -3.917 3.839
Pb -1.260 -5.010 6.119
Pb -2.408 -8.602 8.102
Mo 0.000 0.000 0.000
Mo -3.669 -5.198 4.566
N -0.646 -4.111 2.431
N 1.008 -5.247 5.725
```

Summary:
Formation energy without anion corrections (eV/f.u.): 4.86
DOS(E_F) (states/eV/f.u.): 2.97
SG: I-42d



(4)
A plane-wave DFT calculation with PBE-GGA was carried out for crystalline Cs2LaP2 at its relaxed geometry.

extended XYZ file:
```
10
Lattice="-6.461 -2.985 2.559 3.929 -4.724 4.410 -0.114 4.087 4.480" Properties=species:S:1:pos:R:3 pbc="T T T"
Cs 1.473 -1.642 5.641
Cs -1.141 -3.875 7.612
Cs -4.119 -1.981 5.808
Cs -1.505 0.252 3.837
P 0.966 -5.402 4.952
P -3.398 -5.531 4.960
P -3.498 -2.308 2.016
P 0.866 -2.178 2.009
La 0.000 0.000 0.000
La -1.266 -3.855 3.484
```

Summary:
Calculated formation energy (meV per atom): -376.6
DOS(E_F) (states/eV/f.u.): 1.93
SG: P4/mbm



(5)
A plane-wave DFT calculation with PBE-GGA was carried out for crystalline RbCrS2 at its relaxed geometry.

extended XYZ file:
```
8
Lattice="3.488 0.000 0.000 0.000 9.157 -0.028 -3.488 -2.090 7.679" Properties=species:S:1:pos:R:3 pbc="T T T"
Cr 0.788 1.467 5.599
Cr -0.956 3.302 5.316
S -2.700 3.351 6.787
S -0.956 0.349 6.814
S -0.956 1.515 4.045
S -0.956 5.052 4.125
Rb 0.788 3.444 1.822
Rb -2.700 6.743 6.285
```

Summary:
Formation energy without anion corrections (eV/f.u.): -2.95
DOS(E_F) (states/eV/f.u.): 0.00
SG: Pm



(6)
A plane-wave DFT calculation with PBE-GGA was carried out for crystalline ErLuMgZr at its relaxed geometry.

extended XYZ file:
```
4
Lattice="5.295 0.000 0.000 2.648 4.586 0.000 2.648 1.529 4.324" Properties=species:S:1:pos:R:3 pbc="T T T"
Mg 0.000 0.000 0.000
Lu 2.648 1.529 1.081
Zr 5.295 3.057 2.162
Er 7.943 4.586 3.243
```

Summary:
Calculated formation energy (meV per atom): 133.8
DOS(E_F) (states/eV/f.u.): 6.06
SG: F-43m



(7)
A plane-wave DFT calculation with PBE-GGA was carried out for crystalline SbAu at its relaxed geometry.

extended XYZ file:
```
12
Lattice="-9.494 -6.776 4.468 1.728 0.181 3.946 -2.812 4.612 1.019" Properties=species:S:1:pos:R:3 pbc="T T T"
Sb -9.013 -2.108 5.345
Sb -6.017 -3.749 6.216
Sb -3.448 1.864 2.726
Sb -2.087 -0.944 4.366
Sb 0.267 1.794 3.287
Sb -6.716 0.625 4.137
Au -8.296 -4.797 4.918
Au -6.781 -0.982 6.660
Au -1.574 0.000 1.755
Au -4.008 0.996 5.355
Au -1.511 3.944 2.770
Au -4.804 -1.745 4.605
```

Summary:
Formation energy without anion corrections (eV/f.u.): 0.00
DOS(E_F) (states/eV/f.u.): 0.54
SG: Pmn2_1



(8)
A plane-wave DFT calculation with PBE-GGA was carried out for crystalline Pm2Al4Au3 at its relaxed geometry.

extended XYZ file:
```
18
Lattice="-5.379 2.170 1.345 0.789 -2.574 7.308 5.949 5.728 1.375" Properties=species:S:1:pos:R:3 pbc="T T T"
Pm 1.157 -0.097 4.786
Pm 0.201 5.420 5.242
Pm 2.647 5.129 2.315
Pm -1.289 0.194 7.712
Al 2.077 4.528 7.595
Al -3.408 1.880 3.105
Al -0.719 0.795 2.433
Al 4.767 3.443 6.923
Al 1.927 -0.141 7.937
Al -0.569 5.464 2.090
Al 2.495 3.158 4.888
Al -1.137 2.166 5.140
Au 0.000 0.000 0.000
Au -2.295 -0.202 4.326
Au 0.981 2.236 6.906
Au -2.312 4.172 3.794
Au 0.378 3.087 3.121
Au 3.670 1.152 6.234
```

Summary:
Calculated formation energy (meV per atom): -633.2
DOS(E_F) (states/eV/f.u.): 5.91
SG: Cmce



- What is the DOS(E_F) in the fourth record?
  1.93 states/eV/f.u.



- Number 6 is which compound?
  ErLuMgZr



- Among the records above, which one has the highest DOS(E_F)?
  ErLuMgZr



- Which of these has the lowest DOS(E_F)?
  RbCrS2